# PBE-GGA La2PrSe3, optimized geometry
data_La2PrSe3
_chemical_formula_sum 'La4 Pr2 Se6'
_symmetry_space_group_name_H-M 'I m m m'
_symmetry_Int_Tables_number 71
_symmetry_space_group_name_Hall '-I 2 2'
_cell_length_a 4.304
_cell_length_b 6.076
_cell_length_c 12.878
_cell_angle_alpha 90.00
_cell_angle_beta 90.00
_cell_angle_gamma 90.00
loop_
_atom_site_label
_atom_site_type_symbol
_atom_site_fract_x
_atom_site_fract_y
_atom_site_fract_z
La1 La 0.000 0.000 0.166
Pr1 Pr 0.000 0.000 0.500
Se1 Se 0.000 0.500 0.166
Se2 Se 0.000 0.500 0.500
# DOS(E_F) = 0.60 states/eV/atom
# ΔE_f (raw) = -1951 meV/atom
# excess energy over the best structure of this formula in the dataset = 3.5 meV per atom
# E_tot = -6.1322 eV/atom
# total moment = 0.000 μB/f.u.